{"formula": "MgSnMoF6", "functional": "PBE+U", "state": "optimized geometry", "lattice": [[5.630, 0.000, 0.000], [-2.815, 4.876, 0.000], [0.000, 0.000, 10.084]], "species": ["Mg", "Mg", "Sn", "Sn", "Mo", "Mo", "F", "F", "F", "F", "F", "F", "F", "F", "F", "F", "F", "F"], "fractional_positions": [[0.333, 0.667, 0.250], [0.667, 0.333, 0.750], [0.000, 0.000, 0.000], [0.000, 0.000, 0.500], [0.333, 0.667, 0.750], [0.667, 0.333, 0.250], [0.028, 0.366, 0.142], [0.028, 0.662, 0.358], [0.338, 0.366, 0.358], [0.338, 0.972, 0.142], [0.366, 0.028, 0.642], [0.366, 0.338, 0.858], [0.634, 0.662, 0.142], [0.634, 0.972, 0.358], [0.662, 0.028, 0.858], [0.662, 0.634, 0.642], [0.972, 0.338, 0.642], [0.972, 0.634, 0.858]], "e_tot_ev_per_atom": -5.118}